A relaxed structure of LaNdIn. Source: Alexandria via LeMat-Bulk, functional PBE-GGA.

## Properties
* space-group type: Pnma
* Fermi-level density of states: 1.256 states/eV/atom
* ΔE_f: -6.99 kcal/mol of atoms
* polymorph energy (0 for the lowest one): 0.5 kJ per mole of atoms
* calculated total energy: -4.447 eV per atom

Structure (extended XYZ):
```
12
Lattice="-4.139 1.398 -4.039 0.120 -5.580 -2.054 -7.461 -2.639 6.734" Properties=species:S:1:pos:R:3 pbc="T T T"
Nd -9.436 -2.594 2.200
Nd -7.845 -4.843 -0.209
Nd -3.635 -1.978 0.850
Nd -2.045 -4.227 -1.558
In -10.426 -5.755 2.121
In -6.855 -1.681 -0.129
In -1.054 -1.066 -1.479
In -4.626 -5.141 0.771
La -7.122 -6.025 3.024
La -6.019 -2.823 3.001
La -4.358 -0.797 -2.382
La -5.462 -3.998 -2.359
```



A relaxed structure of LaNd6In3. Source: Alexandria via LeMat-Bulk, functional PBE-GGA.

## Properties
* space-group type: Cmc2_1
* Fermi-level density of states: 1.292 states/eV/atom
* ΔE_f: -3.82 kcal/mol of atoms
* polymorph energy (0 for the lowest one): 10.3 kJ per mole of atoms
* calculated total energy: -4.341 eV per atom

Structure (extended XYZ):
```
20
Lattice="-6.525 4.440 1.264 -5.349 -6.732 -3.969 0.787 -1.497 9.318" Properties=species:S:1:pos:R:3 pbc="T T T"
Nd -4.286 -4.587 0.237
Nd -1.952 0.115 4.276
Nd -2.115 -1.892 1.110
Nd -5.152 -0.323 6.057
Nd -6.979 -5.143 -2.915
Nd -4.251 -5.743 3.614
Nd -7.100 -3.171 5.141
Nd -7.522 0.366 -0.089
Nd -9.683 -3.531 2.444
Nd -4.730 1.778 9.649
Nd -4.964 0.680 2.637
Nd -4.113 -3.782 6.808
In -4.037 -2.441 3.751
In -7.551 -5.847 3.370
In -5.906 3.670 3.702
In -9.179 -2.233 7.540
In -4.277 0.057 -0.467
In -7.924 -0.754 3.031
La -7.800 -2.951 -0.244
La -1.157 -2.287 6.444
```



A relaxed structure of La5NdIn6. Source: Alexandria via LeMat-Bulk, functional PBE-GGA.

## Properties
* space-group type: C2/m
* Fermi-level density of states: 0.624 states/eV/atom
* ΔE_f: -11.78 kcal/mol of atoms
* calculated total energy: -4.331 eV per atom

Structure (extended XYZ):
```
12
Lattice="-5.065 0.809 -2.179 5.617 -3.300 -7.143 -1.222 -5.240 8.032" Properties=species:S:1:pos:R:3 pbc="T T T"
In -1.289 -2.214 2.178
In 0.959 -1.576 -2.811
In 2.024 -6.277 0.110
In -2.695 -1.454 -1.400
In 0.618 -5.517 -3.469
In -1.630 -6.155 1.521
La 1.070 -4.590 2.945
La -2.588 -4.504 4.352
La -0.336 -3.866 -0.645
La -1.741 -3.142 -4.236
La 1.916 -3.227 -5.643
Nd 0.000 0.000 0.000
```